! Y2BeCd, relaxed, DFT PBE; values from VASP
! Energy of formation   0.3692 eV/atom
! Energy relative to the lowest polymorph listed for this composition   196 kJ/mol of formula units
&SYSTEM
  ibrav = 0, nat = 16, ntyp = 3
/
ATOMIC_SPECIES
Y 88.91 Y.upf
Be 9.01 Be.upf
Cd 112.41 Cd.upf
CELL_PARAMETERS angstrom
7.1901 0.0000 0.0000
0.0000 7.1901 0.0000
0.0000 0.0000 7.1901
ATOMIC_POSITIONS angstrom
Y 0.0000 0.0000 0.0000
Y 0.0000 3.5950 3.5950
Y 1.7975 1.7975 1.7975
Y 1.7975 5.3926 5.3926
Y 3.5950 0.0000 3.5950
Y 3.5950 3.5950 0.0000
Y 5.3926 1.7975 5.3926
Y 5.3926 5.3926 1.7975
Be 0.0000 0.0000 3.5950
Be 0.0000 3.5950 0.0000
Be 3.5950 0.0000 0.0000
Be 3.5950 3.5950 3.5950
Cd 1.7975 1.7975 5.3926
Cd 1.7975 5.3926 1.7975
Cd 5.3926 1.7975 1.7975
Cd 5.3926 5.3926 5.3926